[1]
Computed, not measured: a geometry-optimized CrAu structure at the GGA-PBE level of DFT.

The structure in POSCAR format:
```
CrAu
1.0
5.0631 0.0102 -0.0023
1.8985 4.6937 0.0023
-3.4773 -2.3571 2.8262
Au Cr
2 2
Cartesian
6.9614 4.7037 0.0000 Au
0.9513 2.3445 1.4142 Au
2.5332 0.0024 1.4120 Cr
3.4810 2.3520 0.0000 Cr
```

Computed properties:
calculated volume = 16.78 A^3/atom
spin magnetization = 7.648 Bohr magnetons per cell
total DFT energy (no corrections) = -24.62 eV for the cell shown
formation energy = 0.30 eV/atom
Fermi-level density of states = 6.0 states/eV per cell


[2]
Computed, not measured: a geometry-optimized LiB2Os2 structure at the GGA-PBE level of DFT.

The structure in POSCAR format:
```
LiB2Os2
1.0
-2.6027 3.8031 3.6564
-4.9774 -3.1216 -0.2961
0.8588 -1.5836 2.2584
Os B Li
4 4 2
Cartesian
-3.3050 -2.2406 1.5334 Os
-3.4163 1.3385 4.0853 Os
-5.4591 -0.8739 3.3109 Os
-1.2622 -0.0283 2.3079 Os
-2.2704 1.9887 2.2578 B
-2.1851 -0.6755 0.3573 B
-5.3097 -1.3072 1.1025 B
-5.3950 1.3570 3.0031 B
0.0000 0.0000 0.0000 Li
-3.7900 0.3407 1.6802 Li
```

Computed properties:
calculated volume = 10.00 A^3/atom
spin magnetization = 0.000 Bohr magnetons per cell
offset from the most stable computed form = 0 meV per atom
total DFT energy (no corrections) = -76.90 eV for the cell shown
formation energy = -0.14 eV/atom
Fermi-level density of states = 4.0 states/eV per cell


[3]
Computed, not measured: a geometry-optimized HfTlSiAs2 structure at the GGA-PBE level of DFT.

The structure in POSCAR format:
```
HfTlSiAs2
1.0
4.8174 0.0000 0.0000
0.0000 5.0242 0.0000
0.0000 0.0000 4.8174
Tl As Hf Si
1 2 1 1
Cartesian
0.0000 2.5121 0.0000 Tl
2.4087 0.0000 0.0000 As
0.0000 0.0000 2.4087 As
2.4087 2.5121 2.4087 Hf
0.0000 0.0000 0.0000 Si
```

Computed properties:
ΔE_f (raw) = 3.74 eV/f.u.
calculated volume = 23.32 A^3/atom
spin magnetization = 0.000 Bohr magnetons per cell
total DFT energy (no corrections) = -23.30 eV for the cell shown
Fermi-level density of states = 4.9 states/eV per cell


[4]
Computed, not measured: a geometry-optimized Tc2RuCS structure at the GGA-PBE level of DFT.

The structure in POSCAR format:
```
Tc2RuCS
1.0
4.5250 0.0000 0.0000
0.0000 3.4179 0.0000
0.0000 0.0000 4.5250
Tc C Ru S
2 1 1 1
Cartesian
0.0000 0.0000 2.2625 Tc
2.2625 0.0000 0.0000 Tc
0.0000 1.7089 0.0000 C
2.2625 1.7089 2.2625 Ru
0.0000 0.0000 0.0000 S
```

Computed properties:
ΔE_f (raw) = 7.97 eV/f.u.
calculated volume = 14.00 A^3/atom
spin magnetization = 0.921 Bohr magnetons per cell
total DFT energy (no corrections) = -35.39 eV for the cell shown
Fermi-level density of states = 6.1 states/eV per cell


[5]
Computed, not measured: a geometry-optimized InW4Se structure at the GGA-PBE level of DFT.

The structure in POSCAR format:
```
InW4Se
1.0
0.0000 3.8104 3.8104
3.8104 0.0000 3.8104
3.8104 3.8104 0.0000
W Se In
4 1 1
Cartesian
4.7672 2.8536 4.7672 W
4.7672 4.7672 2.8536 W
2.8536 2.8536 2.8536 W
2.8536 4.7672 4.7672 W
0.0000 0.0000 0.0000 Se
5.7157 5.7157 5.7157 In
```

Computed properties:
ΔE_f (raw) = 4.74 eV/f.u.
calculated volume = 18.44 A^3/atom
spin magnetization = 0.000 Bohr magnetons per cell
total DFT energy (no corrections) = -53.30 eV for the cell shown
Fermi-level density of states = 4.5 states/eV per cell


[6]
Computed, not measured: a geometry-optimized TaFe2Co structure at the GGA-PBE level of DFT.

The structure in POSCAR format:
```
TaFe2Co
1.0
-0.4555 3.4311 -2.3543
-3.0287 2.7533 0.8771
0.9763 3.7574 1.5657
Co Fe Ta
1 2 1
Cartesian
-1.2540 4.9709 0.0442 Co
-0.6270 2.4855 0.0221 Fe
0.0000 0.0000 0.0000 Fe
-1.8809 7.4564 0.0664 Ta
```

Computed properties:
calculated volume = 12.97 A^3/atom
spin magnetization = 5.419 Bohr magnetons per cell
total DFT energy (no corrections) = -36.22 eV for the cell shown
formation energy = -0.08 eV/atom
Fermi-level density of states = 3.2 states/eV per cell


[7]
Computed, not measured: a geometry-optimized NiHRh2Se structure at the GGA-PBE level of DFT.

The structure in POSCAR format:
```
NiHRh2Se
1.0
4.6679 0.0000 0.0000
0.0000 4.2827 0.0000
0.0000 0.0000 4.6679
Ni H Se Rh
1 1 1 2
Cartesian
0.0000 0.0000 0.0000 Ni
2.3339 2.1414 2.3339 H
0.0000 2.1414 0.0000 Se
0.0000 0.0000 2.3339 Rh
2.3339 0.0000 0.0000 Rh
```

Computed properties:
calculated volume = 18.66 A^3/atom
spin magnetization = 2.680 Bohr magnetons per cell
total DFT energy (no corrections) = -20.29 eV for the cell shown
Fermi-level density of states = 6.5 states/eV per cell


[8]
Computed, not measured: a geometry-optimized Li2SnSe structure at the GGA-PBE level of DFT.

The structure in POSCAR format:
```
Li2SnSe
1.0
-3.1580 -2.0941 -1.0143
-0.6725 -3.4768 1.6871
-4.6286 0.9965 4.7686
Sn Li Se
1 2 1
Cartesian
-4.2296 -2.2872 2.7207 Sn
-6.6634 -3.1592 4.5137 Li
-1.7957 -1.4152 0.9278 Li
0.0000 0.0000 0.0000 Se
```

Computed properties:
ΔE_f (raw) = -2.21 eV/f.u.
calculated volume = 21.08 A^3/atom
spin magnetization = 0.000 Bohr magnetons per cell
total DFT energy (no corrections) = -13.52 eV for the cell shown
Fermi-level density of states = 1.8 states/eV per cell


[9]
Computed, not measured: a geometry-optimized ZrMo2Pt structure at the GGA-PBE level of DFT.

The structure in POSCAR format:
```
ZrMo2Pt
1.0
-0.8740 -3.1425 -0.5366
1.2700 0.1672 -3.0474
5.5961 -1.9365 2.2259
Mo Zr Pt
2 1 1
Cartesian
1.5089 -1.9413 -1.2706 Mo
0.1087 -0.0376 0.0432 Mo
4.3740 -2.9328 -0.1310 Zr
2.7984 -0.9684 1.1131 Pt
```

Computed properties:
calculated volume = 17.28 A^3/atom
spin magnetization = 0.000 Bohr magnetons per cell
offset from the most stable computed form = 0 meV per atom
total DFT energy (no corrections) = -37.33 eV for the cell shown
formation energy = -0.27 eV/atom
Fermi-level density of states = 4.5 states/eV per cell


[10]
Computed, not measured: a geometry-optimized Pb2Se structure at the GGA-PBE level of DFT.

The structure in POSCAR format:
```
Pb2Se
1.0
3.8714 0.0000 0.0000
-1.9357 3.3527 0.0000
0.0000 0.0000 6.9915
Se Pb
1 2
Cartesian
0.0000 0.0000 0.0000 Se
1.9357 1.1176 4.9664 Pb
0.0000 2.2351 2.0251 Pb
```

Computed properties:
ΔE_f (raw) = -0.54 eV/f.u.
calculated volume = 30.25 A^3/atom
spin magnetization = 0.000 Bohr magnetons per cell
offset from the most stable computed form = 60 meV per atom
total DFT energy (no corrections) = -11.44 eV for the cell shown
Fermi-level density of states = 2.2 states/eV per cell


[11]
Computed, not measured: a geometry-optimized Pr2ThCr2N6 structure at the GGA-PBE level of DFT.

The structure in POSCAR format:
```
Pr2ThCr2N6
1.0
-2.3789 1.5887 -4.9468
-4.9984 -2.2472 -1.6185
-5.3921 4.2539 0.6587
Cr N Pr Th
2 6 2 1
Cartesian
-7.1963 3.0354 -2.1655 Cr
-5.5732 0.5599 -3.7411 Cr
-8.2744 1.7172 -2.0704 N
-6.9592 3.6431 -3.7415 N
-7.0047 0.7499 -4.6488 N
-5.7648 2.8455 -1.2578 N
-4.4951 1.8782 -3.8362 N
-5.8103 -0.0477 -2.1651 N
-3.5584 1.4572 -1.1213 Pr
-9.2110 2.1382 -4.7853 Pr
0.0000 0.0000 0.0000 Th
```

Computed properties:
ΔE_f (raw) = -9.71 eV/f.u.
calculated volume = 15.58 A^3/atom
spin magnetization = 0.000 Bohr magnetons per cell
total DFT energy (no corrections) = -95.89 eV for the cell shown
Fermi-level density of states = 1.2 states/eV per cell


[12]
Computed, not measured: a geometry-optimized LaMgBeS2 structure at the GGA-PBE level of DFT.

The structure in POSCAR format:
```
LaMgBeS2
1.0
4.5684 0.0000 0.0000
0.0000 4.8416 0.0000
0.0000 0.0000 4.5684
Mg La Be S
1 1 1 2
Cartesian
2.2842 2.4208 2.2842 Mg
0.0000 2.4208 0.0000 La
0.0000 0.0000 0.0000 Be
0.0000 0.0000 2.2842 S
2.2842 0.0000 0.0000 S
```

Computed properties:
ΔE_f (raw) = -0.89 eV/f.u.
calculated volume = 20.21 A^3/atom
spin magnetization = 0.000 Bohr magnetons per cell
total DFT energy (no corrections) = -19.39 eV for the cell shown
Fermi-level density of states = 2.1 states/eV per cell